No. 1
Below is an optimized crystal structure of ZrNp3Pd12, with properties calculated at the PBE level.

Values from the calculation:
The density of states at the Fermi level is 33.2 states/eV/cell. For the formation energy, the calculation gives -0.528 eV per atom. The space group is P4/mmm. As for the total energy: -7.38 eV per atom.

Cell lengths 4.1141, 4.1141, 16.5205 Å; angles 90.00, 90.00, 90.00 degrees
With the nearest neighbours (Å) after each atom.
Atoms (fractional coordinates):
Np (0.0000, 0.0000, 0.5000)  12 Pd 2.91-2.93
Np (0.0000, 0.0000, 0.2477)  12 Pd 2.91-2.96
Np (0.0000, 0.0000, 0.7523)  12 Pd 2.91-2.96
Pd (0.0000, 0.5000, 0.1187)  2 Zr 2.84, 8 Pd 2.84-2.94, 2 Np 2.96
Pd (0.5000, 0.0000, 0.8813)  8 Pd 2.84-2.94, 2 Zr 2.84, 2 Np 2.96
Pd (0.5000, 0.5000, 0.5000)  4 Np 2.91, 8 Pd 2.93
Pd (0.5000, 0.5000, 0.7544)  4 Np 2.91, 8 Pd 2.94-2.95
Pd (0.5000, 0.5000, 0.0000)  8 Pd 2.84, 4 Zr 2.91
Pd (0.5000, 0.0000, 0.6265)  8 Pd 2.91-2.95, 4 Np 2.92-2.93
Pd (0.0000, 0.5000, 0.6265)  8 Pd 2.91-2.95, 4 Np 2.92-2.93
Pd (0.5000, 0.0000, 0.3735)  8 Pd 2.91-2.95, 4 Np 2.92-2.93
Pd (0.0000, 0.5000, 0.8813)  2 Zr 2.84, 8 Pd 2.84-2.94, 2 Np 2.96
Pd (0.5000, 0.0000, 0.1187)  2 Zr 2.84, 8 Pd 2.84-2.94, 2 Np 2.96
Pd (0.0000, 0.5000, 0.3735)  8 Pd 2.91-2.95, 4 Np 2.92-2.93
Pd (0.5000, 0.5000, 0.2456)  4 Np 2.91, 8 Pd 2.94-2.95
Zr (0.0000, 0.0000, 0.0000)  12 Pd 2.84-2.91

=====

No. 2
Below is an optimized crystal structure of Zr2NpPd9, with properties calculated at the PBE level.

Values from the calculation:
The density of states at the Fermi level is 9.7 states/eV/cell. For the formation energy, the calculation gives -0.679 eV per atom. The space group is P4/mmm. As for the total energy: -7.08 eV per atom.

Cell lengths 4.0717, 4.0717, 12.2461 Å; angles 90.00, 90.00, 90.00 degrees
With the nearest neighbours (Å) after each atom.
Atoms (fractional coordinates):
Zr (0.0000, 0.0000, 0.6645)  12 Pd 2.83-2.88
Zr (0.0000, 0.0000, 0.3355)  12 Pd 2.83-2.88
Pd (0.0000, 0.5000, 0.8245)  2 Zr 2.83, 8 Pd 2.85-2.96, 2 Np 2.96
Pd (0.0000, 0.5000, 0.5000)  8 Pd 2.84-2.88, 4 Zr 2.86
Pd (0.5000, 0.5000, 0.0000)  4 Np 2.88, 8 Pd 2.96
Pd (0.5000, 0.5000, 0.6618)  8 Pd 2.84-2.85, 4 Zr 2.88
Pd (0.5000, 0.5000, 0.3382)  8 Pd 2.84-2.85, 4 Zr 2.88
Pd (0.0000, 0.5000, 0.1755)  2 Zr 2.83, 8 Pd 2.85-2.96, 2 Np 2.96
Pd (0.5000, 0.0000, 0.5000)  8 Pd 2.84-2.88, 4 Zr 2.86
Pd (0.5000, 0.0000, 0.8245)  2 Zr 2.83, 8 Pd 2.85-2.96, 2 Np 2.96
Pd (0.5000, 0.0000, 0.1755)  2 Zr 2.83, 8 Pd 2.85-2.96, 2 Np 2.96
Np (0.0000, 0.0000, 0.0000)  12 Pd 2.88-2.96

=====

No. 3
Below is an optimized crystal structure of PmNp4, with properties calculated at the PBE level.

Values from the calculation:
The density of states at the Fermi level is 22.3 states/eV/cell. For the formation energy, the calculation gives 1.759 eV per atom. The space group is Pm-3m. As for the total energy: -9.54 eV per atom.

Cell lengths 5.4214, 5.4214, 5.4214 Å; angles 90.00, 90.00, 90.00 degrees
With the nearest neighbours (Å) after each atom.
Atoms (fractional coordinates):
Np (0.0000, 0.0000, 0.0000)  12 Np 3.83
Np (0.5000, 0.0000, 0.5000)  2 Pm 2.71
Np (0.5000, 0.5000, 0.0000)  2 Pm 2.71
Np (0.0000, 0.5000, 0.5000)  2 Pm 2.71
Pm (0.5000, 0.5000, 0.5000)  6 Np 2.71

=====

No. 4
Below is an optimized crystal structure of Pm3Np, with properties calculated at the PBE level.

Values from the calculation:
The density of states at the Fermi level is 30.6 states/eV/cell. For the formation energy, the calculation gives 0.407 eV per atom. The space group is P6_3/mmc. As for the total energy: -6.39 eV per atom.

Cell lengths 7.1872, 7.1872, 5.7866 Å; angles 90.00, 90.00, 120.00 degrees
With the nearest neighbours (Å) after each atom.
Atoms (fractional coordinates):
Pm (0.8307, 0.1693, 0.7500)  8 Pm 3.54-3.65, 4 Np 3.54-3.59
Pm (0.3387, 0.1693, 0.7500)  8 Pm 3.54-3.65, 4 Np 3.54-3.59
Pm (0.1693, 0.8307, 0.2500)  8 Pm 3.54-3.65, 4 Np 3.54-3.59
Pm (0.8307, 0.6613, 0.7500)  8 Pm 3.54-3.65, 4 Np 3.54-3.59
Pm (0.1693, 0.3387, 0.2500)  8 Pm 3.54-3.65, 4 Np 3.54-3.59
Pm (0.6613, 0.8307, 0.2500)  8 Pm 3.54-3.65, 4 Np 3.54-3.59
Np (0.6667, 0.3333, 0.2500)  12 Pm 3.54-3.59
Np (0.3333, 0.6667, 0.7500)  12 Pm 3.54-3.59

=====

No. 5
Below is an optimized crystal structure of PmPrNp2S4, with properties calculated at the PBE level.

Values from the calculation:
The density of states at the Fermi level is 19.8 states/eV/cell. The calculation puts the formation energy without anion corrections at -161.9 kJ/mol of atoms. The space group is P2/m. As for the total energy: -8.17 eV per atom.

Cell lengths 3.9969, 6.9506, 6.8813 Å; angles 109.66, 90.00, 90.00 degrees
With the nearest neighbours (Å) after each atom.
Atoms (fractional coordinates):
S (0.5000, 0.7414, 0.7363)  3 Np 2.76-2.80, 1 Pm 2.86, 2 Pr 2.88
S (0.0000, 0.2473, 0.7384)  3 Np 2.78, 2 Pm 2.86, 1 Pr 2.88
S (0.5000, 0.2586, 0.2637)  3 Np 2.76-2.80, 1 Pm 2.86, 2 Pr 2.88
S (0.0000, 0.7527, 0.2616)  3 Np 2.78, 2 Pm 2.86, 1 Pr 2.88
Pm (0.5000, 0.5000, 0.0000)  6 S 2.86
Np (0.0000, 0.5000, 0.5000)  6 S 2.76-2.78
Np (0.5000, 0.0000, 0.5000)  6 S 2.78-2.80
Pr (0.0000, 0.0000, 0.0000)  6 S 2.88

=====

No. 6
Below is an optimized crystal structure of PmPr2NpS4, with properties calculated at the PBE level.

Values from the calculation:
The density of states at the Fermi level is 11.6 states/eV/cell. The calculation puts the formation energy without anion corrections at -179.2 kJ/mol of atoms. The space group is P2/m. As for the total energy: -7.33 eV per atom.

Cell lengths 4.0296, 6.9918, 7.0206 Å; angles 109.30, 90.00, 90.00 degrees
With the nearest neighbours (Å) after each atom.
Atoms (fractional coordinates):
Np (0.5000, 0.5000, 0.0000)  6 S 2.79-2.80
Pr (0.5000, 0.0000, 0.5000)  6 S 2.92-2.93
Pr (0.0000, 0.5000, 0.5000)  6 S 2.88
Pm (0.0000, 0.0000, 0.0000)  6 S 2.83-2.84
S (0.0000, 0.2597, 0.7635)  2 Np 2.79, 1 Pm 2.84, 3 Pr 2.88-2.93
S (0.5000, 0.7488, 0.7593)  1 Np 2.80, 2 Pm 2.83, 3 Pr 2.88-2.92
S (0.0000, 0.7403, 0.2365)  2 Np 2.79, 1 Pm 2.84, 3 Pr 2.88-2.93
S (0.5000, 0.2512, 0.2407)  1 Np 2.80, 2 Pm 2.83, 3 Pr 2.88-2.92

=====

No. 7
Below is an optimized crystal structure of PmNpPt4, with properties calculated at the PBE level.

Values from the calculation:
The density of states at the Fermi level is 13.1 states/eV/cell. For the formation energy, the calculation gives -0.814 eV per atom. The space group is F-43m. As for the total energy: -7.79 eV per atom.

Cell lengths 5.4724, 5.4724, 5.4724 Å; angles 60.00, 60.00, 60.00 degrees
With the nearest neighbours (Å) after each atom.
Atoms (fractional coordinates):
Pm (0.0000, 0.0000, 0.0000)  12 Pt 3.21, 4 Np 3.35
Pt (0.1259, 0.6247, 0.6247)  6 Pt 2.73-2.74
Pt (0.6247, 0.6247, 0.6247)  6 Pt 2.73-2.74
Pt (0.6247, 0.1259, 0.6247)  6 Pt 2.73-2.74
Pt (0.6247, 0.6247, 0.1259)  6 Pt 2.73-2.74
Np (0.2500, 0.2500, 0.2500)  12 Pt 3.21, 4 Pm 3.35

=====

No. 8
Below is an optimized crystal structure of Pm2NpPt9, with properties calculated at the PBE level.

Values from the calculation:
The density of states at the Fermi level is 17.1 states/eV/cell. For the formation energy, the calculation gives -0.784 eV per atom. The space group is R-3m. As for the total energy: -7.18 eV per atom.

Cell lengths 5.4356, 5.4356, 9.4572 Å; angles 73.30, 73.30, 60.00 degrees
With the nearest neighbours (Å) after each atom.
Atoms (fractional coordinates):
Pt (0.9190, 0.4139, 0.2531)  7 Pt 2.69-2.77
Pt (0.4139, 0.4139, 0.2531)  7 Pt 2.69-2.77
Pt (0.5000, 0.5000, 0.5000)  6 Pt 2.71
Pt (0.4139, 0.9190, 0.2531)  7 Pt 2.69-2.77
Pt (0.3329, 0.3329, 0.0013)  6 Pt 2.73-2.77
Pt (0.0810, 0.5861, 0.7469)  7 Pt 2.69-2.77
Pt (0.5861, 0.5861, 0.7469)  7 Pt 2.69-2.77
Pt (0.5861, 0.0810, 0.7469)  7 Pt 2.69-2.77
Pt (0.6671, 0.6671, 0.9987)  6 Pt 2.73-2.77
Pm (0.8610, 0.8610, 0.4169)  12 Pt 3.09-3.33
Pm (0.1390, 0.1390, 0.5831)  12 Pt 3.09-3.33
Np (0.0000, 0.0000, 0.0000)  6 Pt 3.14

=====

No. 9
Below is an optimized crystal structure of PmNpPt, with properties calculated at the PBE level.

Values from the calculation:
The density of states at the Fermi level is 8.4 states/eV/cell. For the formation energy, the calculation gives -0.552 eV per atom. The space group is P2_1/m. As for the total energy: -8.46 eV per atom.

Cell lengths 3.7298, 4.5793, 9.1726 Å; angles 88.42, 114.00, 89.98 degrees
With the nearest neighbours (Å) after each atom.
Atoms (fractional coordinates):
Np (0.2675, 0.1752, 0.0176)  2 Np 2.48
Np (0.7325, 0.8248, 0.9824)  2 Np 2.48
Pm (0.3911, 0.2489, 0.6408)  5 Pt 2.96-3.11
Pm (0.6089, 0.7511, 0.3592)  5 Pt 2.96-3.11
Pt (0.9741, 0.7239, 0.7240)  2 Np 2.90-2.91, 5 Pm 2.96-3.11
Pt (0.0259, 0.2761, 0.2760)  2 Np 2.90-2.91, 5 Pm 2.96-3.11

=====

No. 10
Below is an optimized crystal structure of PmNp2Pt9, with properties calculated at the PBE level.

Values from the calculation:
The density of states at the Fermi level is 22.8 states/eV/cell. For the formation energy, the calculation gives -0.691 eV per atom. The space group is R-3m. As for the total energy: -7.77 eV per atom.

Cell lengths 5.4055, 5.4055, 9.4370 Å; angles 73.36, 73.36, 60.00 degrees
With the nearest neighbours (Å) after each atom.
Atoms (fractional coordinates):
Np (0.1426, 0.1426, 0.5722)  12 Pt 3.10-3.21, 3 Np 3.38
Np (0.8574, 0.8574, 0.4278)  12 Pt 3.10-3.21, 3 Np 3.38
Pt (0.9183, 0.4127, 0.2564)  7 Pt 2.67-2.79
Pt (0.0817, 0.5873, 0.7436)  7 Pt 2.67-2.79
Pt (0.4127, 0.4127, 0.2564)  7 Pt 2.67-2.79
Pt (0.5873, 0.0817, 0.7436)  7 Pt 2.67-2.79
Pt (0.5000, 0.5000, 0.5000)  6 Pt 2.68
Pt (0.3328, 0.3328, 0.0016)  6 Pt 2.74-2.79
Pt (0.5873, 0.5873, 0.7436)  7 Pt 2.67-2.79
Pt (0.6672, 0.6672, 0.9984)  6 Pt 2.74-2.79
Pt (0.4127, 0.9183, 0.2564)  7 Pt 2.67-2.79
Pm (0.0000, 0.0000, 0.0000)  6 Pt 3.12

=====

Q: Among the records above, which one has the lowest density of states at the Fermi level?
A: PmNpPt

=====

Q: The lowest density of states at the Fermi level belongs to which entry?
A: PmNpPt

=====

Q: What is the formula in the fourth record?
A: Pm3Np

=====

Q: density of states at the Fermi level of number 9 (PmNpPt)?
A: 8.4 states/eV/cell